Record 1
A PBEsol-optimized structure of Li2V5CuO12. Source: Alexandria via LeMat-Bulk, functional SCAN.

a = 6.660 Å, b = 6.660 Å, c = 5.587 Å
α = 106.52°, β = 106.52°, γ = 76.16°
Fractional coordinates of all 20 atoms:
Li (0.000, 0.000, 0.000)
Li (0.568, 0.432, 0.500)
V (0.111, 0.331, 0.525)
V (0.364, 0.636, 0.000)
V (0.465, 0.091, 0.958)
V (0.669, 0.889, 0.475)
V (0.909, 0.535, 0.042)
Cu (0.174, 0.826, 0.500)
O (0.079, 0.710, 0.059)
O (0.275, 0.097, 0.582)
O (0.283, 0.515, 0.623)
O (0.290, 0.921, 0.941)
O (0.386, 0.361, 0.042)
O (0.485, 0.717, 0.377)
O (0.613, 0.081, 0.301)
O (0.639, 0.614, 0.958)
O (0.700, 0.005, 0.807)
O (0.903, 0.725, 0.418)
O (0.919, 0.387, 0.699)
O (0.995, 0.300, 0.193)

Summary:
* density of states at the Fermi level: 2.97 states/eV/f.u.
* formation energy without anion corrections: -2.41 eV per atom

Record 2
A PBEsol-optimized structure of LiVCuO4. Source: Alexandria via LeMat-Bulk, functional SCAN.

a = 5.916 Å, b = 5.916 Å, c = 5.916 Å
α = 123.09°, β = 122.06°, γ = 85.60°
Fractional coordinates of all 14 atoms:
Li (0.500, 0.000, 0.000)
Li (0.500, 0.500, 0.500)
V (0.135, 0.385, 0.750)
V (0.865, 0.615, 0.250)
Cu (0.000, 0.000, 0.000)
Cu (0.500, 0.000, 0.500)
O (0.215, 0.728, 0.487)
O (0.251, 0.236, 0.485)
O (0.251, 0.765, 0.015)
O (0.260, 0.272, 0.987)
O (0.740, 0.728, 0.013)
O (0.749, 0.235, 0.985)
O (0.749, 0.764, 0.515)
O (0.785, 0.272, 0.513)

Summary:
* formation energy without anion corrections: -2.06 eV per atom
* distance to the lowest polymorph of the same formula: 0.000 eV/atom

Record 3
A PBEsol-optimized structure of Li2V3CuO8. Source: Alexandria via LeMat-Bulk, functional SCAN.

a = 5.695 Å, b = 5.695 Å, c = 9.912 Å
α = 92.63°, β = 92.63°, γ = 120.79°
Fractional coordinates of all 28 atoms:
Li (0.014, 0.986, 0.500)
Li (0.273, 0.615, 0.589)
Li (0.615, 0.273, 0.089)
Li (0.986, 0.014, 0.000)
V (0.113, 0.289, 0.272)
V (0.185, 0.814, 0.282)
V (0.289, 0.113, 0.772)
V (0.637, 0.759, 0.277)
V (0.759, 0.637, 0.777)
V (0.814, 0.185, 0.782)
Cu (0.319, 0.678, 0.984)
Cu (0.678, 0.319, 0.484)
O (0.119, 0.834, 0.885)
O (0.126, 0.320, 0.886)
O (0.320, 0.126, 0.386)
O (0.322, 0.627, 0.389)
O (0.438, 0.440, 0.173)
O (0.439, 0.979, 0.671)
O (0.440, 0.438, 0.673)
O (0.448, 0.906, 0.159)
O (0.627, 0.322, 0.889)
O (0.658, 0.845, 0.880)
O (0.834, 0.119, 0.385)
O (0.845, 0.658, 0.380)
O (0.906, 0.448, 0.659)
O (0.932, 0.965, 0.676)
O (0.965, 0.932, 0.176)
O (0.979, 0.439, 0.171)

Summary:
* density of states at the Fermi level: 3.62 states/eV/f.u.
* formation energy without anion corrections: -2.29 eV per atom
* distance to the lowest polymorph of the same formula: 0.048 eV/atom

Record 4
A PBEsol-optimized structure of Li2V3CuO8. Source: Alexandria via LeMat-Bulk, functional SCAN.

a = 5.944 Å, b = 5.944 Å, c = 5.944 Å
α = 56.96°, β = 56.96°, γ = 56.96°
Fractional coordinates of all 14 atoms:
Li (0.125, 0.125, 0.125)
Li (0.875, 0.875, 0.875)
V (0.000, 0.500, 0.500)
V (0.500, 0.000, 0.500)
V (0.500, 0.500, 0.000)
Cu (0.500, 0.500, 0.500)
O (0.250, 0.250, 0.713)
O (0.250, 0.713, 0.250)
O (0.260, 0.260, 0.260)
O (0.287, 0.750, 0.750)
O (0.713, 0.250, 0.250)
O (0.740, 0.740, 0.740)
O (0.750, 0.287, 0.750)
O (0.750, 0.750, 0.287)

Summary:
* density of states at the Fermi level: 6.81 states/eV/f.u.
* formation energy without anion corrections: -2.27 eV per atom
* distance to the lowest polymorph of the same formula: 0.062 eV/atom

Record 5
A PBEsol-optimized structure of Li2V3CuO8. Source: Alexandria via LeMat-Bulk, functional SCAN.

a = 8.181 Å, b = 8.183 Å, c = 8.247 Å
α = 90.00°, β = 90.00°, γ = 90.00°
Fractional coordinates of all 56 atoms:
Li (0.007, 0.003, 0.492)
Li (0.133, 0.125, 0.117)
Li (0.367, 0.875, 0.617)
Li (0.493, 0.997, 0.992)
Li (0.507, 0.497, 0.508)
Li (0.633, 0.375, 0.883)
Li (0.867, 0.625, 0.383)
Li (0.993, 0.503, 0.008)
V (0.106, 0.612, 0.635)
V (0.113, 0.371, 0.359)
V (0.114, 0.864, 0.851)
V (0.386, 0.136, 0.351)
V (0.387, 0.629, 0.859)
V (0.394, 0.388, 0.135)
V (0.606, 0.888, 0.365)
V (0.613, 0.129, 0.641)
V (0.614, 0.636, 0.149)
V (0.886, 0.364, 0.649)
V (0.887, 0.871, 0.141)
V (0.894, 0.112, 0.865)
Cu (0.234, 0.750, 0.260)
Cu (0.266, 0.250, 0.760)
Cu (0.734, 0.750, 0.740)
Cu (0.766, 0.250, 0.240)
O (0.100, 0.869, 0.109)
O (0.117, 0.375, 0.618)
O (0.118, 0.101, 0.870)
O (0.119, 0.851, 0.633)
O (0.128, 0.599, 0.406)
O (0.133, 0.628, 0.865)
O (0.141, 0.381, 0.150)
O (0.155, 0.150, 0.376)
O (0.345, 0.850, 0.876)
O (0.359, 0.619, 0.650)
O (0.367, 0.372, 0.365)
O (0.372, 0.401, 0.906)
O (0.381, 0.149, 0.133)
O (0.382, 0.899, 0.370)
O (0.383, 0.625, 0.118)
O (0.400, 0.131, 0.609)
O (0.600, 0.631, 0.891)
O (0.617, 0.125, 0.382)
O (0.618, 0.399, 0.130)
O (0.619, 0.649, 0.367)
O (0.628, 0.901, 0.594)
O (0.633, 0.872, 0.135)
O (0.641, 0.119, 0.850)
O (0.655, 0.350, 0.624)
O (0.845, 0.650, 0.124)
O (0.859, 0.881, 0.350)
O (0.867, 0.128, 0.635)
O (0.872, 0.099, 0.094)
O (0.881, 0.351, 0.867)
O (0.882, 0.601, 0.630)
O (0.883, 0.875, 0.882)
O (0.900, 0.369, 0.391)

Summary:
* density of states at the Fermi level: 1.46 states/eV/f.u.
* formation energy without anion corrections: -2.34 eV per atom
* distance to the lowest polymorph of the same formula: 0.000 eV/atom

Record 6
A PBEsol-optimized structure of LiVCuO4. Source: Alexandria via LeMat-Bulk, functional SCAN.

a = 5.009 Å, b = 5.009 Å, c = 6.263 Å
α = 90.00°, β = 90.00°, γ = 111.46°
Fractional coordinates of all 14 atoms:
Li (0.169, 0.831, 0.750)
Li (0.831, 0.169, 0.250)
V (0.150, 0.850, 0.250)
V (0.850, 0.150, 0.750)
Cu (0.500, 0.500, 0.000)
Cu (0.500, 0.500, 0.500)
O (0.224, 0.263, 0.750)
O (0.263, 0.224, 0.250)
O (0.267, 0.733, 0.027)
O (0.267, 0.733, 0.473)
O (0.733, 0.267, 0.527)
O (0.733, 0.267, 0.973)
O (0.737, 0.776, 0.750)
O (0.776, 0.737, 0.250)

Summary:
* density of states at the Fermi level: 0.05 states/eV/f.u.
* formation energy without anion corrections: -2.03 eV per atom
* distance to the lowest polymorph of the same formula: 0.030 eV/atom

Record 7
A PBEsol-optimized structure of LiV4CuO12. Source: Alexandria via LeMat-Bulk, functional SCAN.

a = 6.563 Å, b = 6.563 Å, c = 5.804 Å
α = 105.09°, β = 105.09°, γ = 82.97°
Fractional coordinates of all 18 atoms:
Li (0.000, 0.000, 0.000)
V (0.109, 0.469, 0.994)
V (0.300, 0.296, 0.509)
V (0.531, 0.891, 0.006)
V (0.704, 0.700, 0.491)
Cu (0.830, 0.170, 0.500)
O (0.116, 0.117, 0.428)
O (0.244, 0.460, 0.301)
O (0.288, 0.445, 0.804)
O (0.302, 0.019, 0.005)
O (0.540, 0.756, 0.699)
O (0.541, 0.174, 0.528)
O (0.555, 0.712, 0.196)
O (0.729, 0.058, 0.145)
O (0.826, 0.459, 0.472)
O (0.883, 0.884, 0.572)
O (0.942, 0.271, 0.855)
O (0.981, 0.698, 0.995)

Summary:
* formation energy without anion corrections: -2.22 eV per atom
* distance to the lowest polymorph of the same formula: 0.000 eV/atom

Record 8
A PBEsol-optimized structure of Li2V3CuO8. Source: Alexandria via LeMat-Bulk, functional SCAN.

a = 8.417 Å, b = 8.417 Å, c = 7.998 Å
α = 90.00°, β = 90.00°, γ = 90.00°
Fractional coordinates of all 56 atoms:
Li (0.001, 0.252, 0.354)
Li (0.248, 0.501, 0.104)
Li (0.252, 0.001, 0.646)
Li (0.499, 0.752, 0.396)
Li (0.501, 0.248, 0.896)
Li (0.748, 0.999, 0.146)
Li (0.752, 0.499, 0.604)
Li (0.999, 0.748, 0.854)
V (0.128, 0.361, 0.757)
V (0.139, 0.628, 0.507)
V (0.155, 0.845, 0.250)
V (0.345, 0.345, 0.500)
V (0.361, 0.128, 0.243)
V (0.372, 0.861, 0.993)
V (0.628, 0.139, 0.493)
V (0.639, 0.872, 0.743)
V (0.655, 0.655, 0.000)
V (0.845, 0.155, 0.750)
V (0.861, 0.372, 0.007)
V (0.872, 0.639, 0.257)
Cu (0.074, 0.074, 0.000)
Cu (0.426, 0.574, 0.750)
Cu (0.574, 0.426, 0.250)
Cu (0.926, 0.926, 0.500)
O (0.085, 0.147, 0.754)
O (0.090, 0.388, 0.974)
O (0.112, 0.590, 0.724)
O (0.126, 0.631, 0.255)
O (0.131, 0.374, 0.505)
O (0.142, 0.843, 0.502)
O (0.147, 0.085, 0.246)
O (0.157, 0.858, 0.998)
O (0.343, 0.358, 0.752)
O (0.353, 0.585, 0.504)
O (0.358, 0.343, 0.248)
O (0.369, 0.874, 0.245)
O (0.374, 0.131, 0.495)
O (0.388, 0.090, 0.026)
O (0.410, 0.888, 0.776)
O (0.415, 0.647, 0.996)
O (0.585, 0.353, 0.496)
O (0.590, 0.112, 0.276)
O (0.612, 0.910, 0.526)
O (0.626, 0.869, 0.995)
O (0.631, 0.126, 0.745)
O (0.642, 0.657, 0.748)
O (0.647, 0.415, 0.004)
O (0.657, 0.642, 0.252)
O (0.843, 0.142, 0.498)
O (0.853, 0.915, 0.746)
O (0.858, 0.157, 0.002)
O (0.869, 0.626, 0.005)
O (0.874, 0.369, 0.755)
O (0.888, 0.410, 0.224)
O (0.910, 0.612, 0.474)
O (0.915, 0.853, 0.254)

Summary:
* density of states at the Fermi level: 0.05 states/eV/f.u.
* formation energy without anion corrections: -2.29 eV per atom
* distance to the lowest polymorph of the same formula: 0.042 eV/atom